Entry from the Alexandria database: a relaxed structure of LaMgTa (PBE-GGA).

Unit cell a=3.070 b=3.070 c=15.362 alpha=90.00 beta=90.00 gamma=90.00
Positions (direct):
La 0.000 0.000 0.000
La 0.500 0.500 0.500
Mg 0.000 0.000 0.305
Mg 0.500 0.500 0.805
Ta 0.000 0.000 0.664
Ta 0.500 0.500 0.164

Properties
* crystal system: tetragonal
* space group: I4mm, No. 107
* polymorph energy (0 for the lowest one): 0.2105 eV per atom

Entry from the Alexandria database: a relaxed structure of LaMg2Ta (PBE-GGA).

Unit cell a=3.073 b=4.872 c=6.511 alpha=90.00 beta=102.85 gamma=90.00
Positions (direct):
La 0.000 0.000 0.000
Mg 0.584 0.500 0.302
Mg 0.972 0.000 0.523
Ta 0.409 0.500 0.754

Properties
* crystal system: monoclinic
* space group: Pm, No. 6
* polymorph energy (0 for the lowest one): 0.1410 eV per atom

Entry from the Alexandria database: a relaxed structure of LaMg2Ta (PBE-GGA).

Unit cell a=3.077 b=3.077 c=9.836 alpha=90.00 beta=90.00 gamma=90.00
Positions (direct):
La 0.000 0.000 0.000
Mg 0.500 0.500 0.286
Mg 0.500 0.500 0.714
Ta 0.000 0.000 0.500

Properties
* crystal system: tetragonal
* space group: P4/mmm, No. 123
* polymorph energy (0 for the lowest one): 0.0000 eV per atom

Entry from the Alexandria database: a relaxed structure of LaMg2Ta (PBE-GGA).

Unit cell a=5.473 b=5.473 c=3.145 alpha=90.00 beta=90.00 gamma=90.00
Positions (direct):
La 0.000 0.000 0.000
Mg 0.000 0.500 0.500
Mg 0.500 0.000 0.500
Ta 0.500 0.500 0.000

Properties
* crystal system: tetragonal
* space group: P4/mmm, No. 123
* polymorph energy (0 for the lowest one): 0.2407 eV per atom

Entry from the Alexandria database: a relaxed structure of LaMg2Ta (PBE-GGA).

Unit cell a=2.973 b=5.279 c=6.113 alpha=90.00 beta=102.45 gamma=90.00
Positions (direct):
La 0.000 0.000 0.000
Mg 0.422 0.500 0.720
Mg 0.578 0.500 0.280
Ta 0.000 0.000 0.500

Properties
* crystal system: monoclinic
* space group: P2/m, No. 10
* polymorph energy (0 for the lowest one): 0.1059 eV per atom

Entry from the Alexandria database: a relaxed structure of LaMg2Ta (PBE-GGA).

Unit cell a=3.098 b=3.098 c=33.897 alpha=90.00 beta=90.00 gamma=120.00
Positions (direct):
La 0.000 0.000 0.000
La 0.333 0.667 0.667
La 0.667 0.333 0.333
Mg 0.000 0.000 0.242
Mg 0.000 0.000 0.758
Mg 0.333 0.667 0.425
Mg 0.333 0.667 0.908
Mg 0.667 0.333 0.092
Mg 0.667 0.333 0.575
Ta 0.000 0.000 0.500
Ta 0.333 0.667 0.167
Ta 0.667 0.333 0.833

Properties
* crystal system: trigonal
* space group: R-3m, No. 166
* polymorph energy (0 for the lowest one): 0.0918 eV per atom

Entry from the Alexandria database: a relaxed structure of La2MgTa (PBE-GGA).

Unit cell a=8.503 b=8.503 c=6.341 alpha=90.00 beta=90.00 gamma=90.00
Positions (direct):
La 0.224 0.750 0.125
La 0.250 0.224 0.875
La 0.250 0.276 0.375
La 0.276 0.750 0.625
La 0.724 0.250 0.625
La 0.750 0.724 0.375
La 0.750 0.776 0.875
La 0.776 0.250 0.125
Mg 0.000 0.000 0.500
Mg 0.000 0.500 0.750
Mg 0.500 0.000 0.250
Mg 0.500 0.500 0.000
Ta 0.000 0.000 0.000
Ta 0.000 0.500 0.250
Ta 0.500 0.000 0.750
Ta 0.500 0.500 0.500

Properties
* crystal system: tetragonal
* space group: I-42d, No. 122

Entry from the Alexandria database: a relaxed structure of La2MgTa (PBE-GGA).

Unit cell a=5.242 b=3.292 c=12.845 alpha=90.00 beta=90.00 gamma=90.00
Positions (direct):
La 0.000 0.000 0.000
La 0.000 0.500 0.500
La 0.500 0.000 0.317
La 0.500 0.500 0.817
Mg 0.500 0.000 0.597
Mg 0.500 0.500 0.097
Ta 0.000 0.000 0.720
Ta 0.000 0.500 0.220

Properties
* crystal system: orthorhombic
* space group: Amm2, No. 38

Entry from the Alexandria database: a relaxed structure of LaMgTa3 (PBE-GGA).

Unit cell a=4.962 b=4.962 c=4.962 alpha=90.00 beta=90.00 gamma=90.00
Positions (direct):
La 0.000 0.000 0.000
Mg 0.500 0.500 0.500
Ta 0.000 0.000 0.500
Ta 0.000 0.500 0.000
Ta 0.500 0.000 0.000

Properties
* crystal system: cubic
* space group: Pm-3m, No. 221
* polymorph energy (0 for the lowest one): 0.3929 eV per atom

Entry from the Alexandria database: a relaxed structure of LaMgTa (PBE-GGA).

Unit cell a=5.170 b=3.560 c=16.082 alpha=90.00 beta=90.68 gamma=90.00
Positions (direct):
La 0.000 0.000 0.000
La 0.013 0.500 0.463
La 0.500 0.500 0.000
La 0.513 0.000 0.463
Mg 0.035 0.000 0.652
Mg 0.469 0.000 0.811
Mg 0.535 0.500 0.652
Mg 0.969 0.500 0.811
Ta 0.005 0.500 0.168
Ta 0.011 0.000 0.295
Ta 0.505 0.000 0.168
Ta 0.511 0.500 0.295

Properties
* crystal system: monoclinic
* space group: Cm, No. 8
* polymorph energy (0 for the lowest one): 0.1064 eV per atom

Entry from the Alexandria database: a relaxed structure of LaMg4Ta (PBE-GGA).

Unit cell a=5.852 b=5.852 c=5.852 alpha=60.00 beta=60.00 gamma=60.00
Positions (direct):
La 0.000 0.000 0.000
Mg 0.129 0.624 0.624
Mg 0.624 0.129 0.624
Mg 0.624 0.624 0.129
Mg 0.624 0.624 0.624
Ta 0.250 0.250 0.250

Properties
* crystal system: cubic
* space group: F-43m, No. 216

Entry from the Alexandria database: a relaxed structure of La2MgTa (PBE-GGA).

Unit cell a=3.277 b=3.277 c=10.260 alpha=90.00 beta=90.00 gamma=90.00
Positions (direct):
La 0.000 0.000 0.229
La 0.000 0.000 0.771
Mg 0.500 0.500 0.500
Ta 0.500 0.500 0.000

Properties
* crystal system: tetragonal
* space group: P4/mmm, No. 123

| no. | calculated formation energy (meV/atom) | N(E_F) (states/eV/atom) |
| --- | --- | --- |
| 1 | 335 | 0.798 |
| 2 | 378 | 1.112 |
| 3 | 237 | 0.684 |
| 4 | 478 | 1.110 |
| 5 | 343 | 0.865 |
| 6 | 329 | 1.092 |
| 7 | 695 | 1.301 |
| 8 | 330 | 1.204 |
| 9 | 2038 | 1.032 |
| 10 | 231 | 1.109 |
| 11 | 286 | 0.642 |
| 12 | 252 | 0.811 |